# PBE Ca2Zn5Ag5, relaxed
data_Ca2Zn5Ag5
_chemical_formula_sum 'Ca2 Zn5 Ag5'
_space_group_name_H-M_alt 'P m m m'
_space_group_IT_number 47
_space_group_name_Hall '-P 2 2'
_cell_length_a 4.528
_cell_length_b 5.386
_cell_length_c 9.591
_cell_angle_alpha 90.00
_cell_angle_beta 90.00
_cell_angle_gamma 90.00
loop_
_atom_site_label
_atom_site_fract_x
_atom_site_fract_y
_atom_site_fract_z
_atom_site_occupancy
Ca1 0.000 0.000 0.000 1
Ca2 0.000 0.500 0.500 1
Zn1 0.500 0.000 0.500 1
Zn2 0.500 0.250 0.253 1
Ag1 0.000 0.000 0.335 1
Ag2 0.000 0.500 0.179 1
Ag3 0.500 0.500 0.000 1
# final energy = -2.279 eV/atom
# calculated volume = 233.9 Å³/f.u.
# E_form = -226 meV/atom
# total magnetization = 0.0000 μB per atom
# Fermi-level density of states = 0.4347 states/eV per atom

***

# PBE Pm4PrCo2, relaxed
data_Pm4PrCo2
_chemical_formula_sum 'Pm8 Pr2 Co4'
_space_group_name_H-M_alt 'C m m m'
_space_group_IT_number 65
_space_group_name_Hall '-C 2 2'
_cell_length_a 4.750
_cell_length_b 17.013
_cell_length_c 4.727
_cell_angle_alpha 90.00
_cell_angle_beta 90.00
_cell_angle_gamma 90.00
loop_
_atom_site_label
_atom_site_fract_x
_atom_site_fract_y
_atom_site_fract_z
_atom_site_occupancy
Pm1 0.000 0.161 0.000 1
Pm2 0.000 0.335 0.500 1
Pr1 0.000 0.500 0.000 1
Co1 0.000 0.065 0.500 1
# final energy = -5.301 eV/atom
# calculated volume = 191.0 Å³/f.u.
# E_form = 127 meV/atom
# total magnetization = 0.1079 μB per atom
# Fermi-level density of states = 1.1164 states/eV per atom
# ΔE to the lowest computed polymorph = 142 meV per atom

***

# PBE HfTi2Au6, relaxed
data_HfTi2Au6
_chemical_formula_sum 'Hf2 Ti4 Au12'
_space_group_name_H-M_alt 'C 1 2/m 1'
_space_group_IT_number 12
_space_group_name_Hall '-C 2y'
_cell_length_a 4.957
_cell_length_b 15.186
_cell_length_c 4.944
_cell_angle_alpha 90.00
_cell_angle_beta 119.69
_cell_angle_gamma 90.00
loop_
_atom_site_label
_atom_site_fract_x
_atom_site_fract_y
_atom_site_fract_z
_atom_site_occupancy
Hf1 0.000 0.000 0.000 1
Ti1 0.000 0.166 0.500 1
Au1 0.168 0.333 0.834 1
Au2 0.170 0.500 0.334 1
# final energy = -5.445 eV/atom
# calculated volume = 161.6 Å³/f.u.
# E_form = -400 meV/atom
# total magnetization = 0.0000 μB per atom
# Fermi-level density of states = 0.7317 states/eV per atom

***

# PBE Pm7ErSn2, relaxed
data_Pm7ErSn2
_chemical_formula_sum 'Pm14 Er2 Sn4'
_space_group_name_H-M_alt 'C m m m'
_space_group_IT_number 65
_space_group_name_Hall '-C 2 2'
_cell_length_a 9.278
_cell_length_b 15.725
_cell_length_c 5.586
_cell_angle_alpha 90.00
_cell_angle_beta 90.00
_cell_angle_gamma 90.00
loop_
_atom_site_label
_atom_site_fract_x
_atom_site_fract_y
_atom_site_fract_z
_atom_site_occupancy
Pm1 0.000 0.000 0.000 1
Pm2 0.000 0.272 0.500 1
Pm3 0.181 0.377 0.000 1
Er1 0.000 0.500 0.500 1
Sn1 0.000 0.197 0.000 1
# final energy = -4.412 eV/atom
# calculated volume = 407.5 Å³/f.u.
# E_form = 171 meV/atom
# total magnetization = 0.0004 μB per atom
# Fermi-level density of states = 2.0365 states/eV per atom

***

Fermi-level density of states of number 4 (Pm7ErSn2)?
2.0365 states/eV per atom

***

Look up the Fermi-level density of states of the second one.
1.1164 states/eV per atom